Run A
# KPtSe2Br

A relaxed KPtSe2Br crystal (PBE, Alexandria via LeMat-Bulk).

Calculated values
magnetization = 4.04 μB/f.u.
N(E_F) = 8.52 states/eV per cell
space-group type = P4/mmm

a b c (Å): 5.876 5.876 5.720
angles (deg): 90.00 90.00 90.00
Fractional positions:
K 0.000 0.000 0.000
Pt 0.500 0.500 0.500
Se 0.000 0.500 0.000
Se 0.500 0.000 0.000
Br 0.000 0.000 0.500

***

Run B
# KPtSe2Br

A relaxed KPtSe2Br crystal (PBE, Alexandria via LeMat-Bulk).

Calculated values
magnetization = 1.36 μB/f.u.
N(E_F) = 4.94 states/eV per cell
space-group type = P4/mmm

a b c (Å): 5.012 5.012 5.554
angles (deg): 90.00 90.00 90.00
Fractional positions:
K 0.000 0.000 0.000
Pt 0.500 0.500 0.500
Se 0.000 0.500 0.500
Se 0.500 0.000 0.500
Br 0.500 0.500 0.000

***

Relative to the most stable one, in eV/atom, the structures come out at run A 1.618; run B 0.000.

***

Run A
# K2PuBr5

A relaxed K2PuBr5 crystal (PBE, Alexandria via LeMat-Bulk).

Calculated values
magnetization = 5.00 μB/f.u.
N(E_F) = 20.99 states/eV per cell
space-group type = Cmcm

a b c (Å): 8.760 8.760 15.259
angles (deg): 90.00 90.00 140.73
Fractional positions:
K 0.146 0.854 0.565
K 0.146 0.854 0.935
K 0.854 0.146 0.065
K 0.854 0.146 0.435
Pu 0.168 0.832 0.250
Pu 0.832 0.168 0.750
Br 0.046 0.954 0.121
Br 0.046 0.954 0.379
Br 0.283 0.717 0.107
Br 0.283 0.717 0.393
Br 0.307 0.693 0.750
Br 0.693 0.307 0.250
Br 0.717 0.283 0.607
Br 0.717 0.283 0.893
Br 0.954 0.046 0.621
Br 0.954 0.046 0.879

***

Run B
# K2PuBr5

A relaxed K2PuBr5 crystal (PBE, Alexandria via LeMat-Bulk).

Calculated values
magnetization = 5.00 μB/f.u.
N(E_F) = 47.81 states/eV per cell
space-group type = Pnma

a b c (Å): 13.712 9.174 8.555
angles (deg): 90.00 90.00 90.00
Fractional positions:
K 0.171 0.004 0.054
K 0.171 0.496 0.054
K 0.329 0.504 0.554
K 0.329 0.996 0.554
K 0.671 0.004 0.446
K 0.671 0.496 0.446
K 0.829 0.504 0.946
K 0.829 0.996 0.946
Pu 0.002 0.250 0.566
Pu 0.498 0.750 0.066
Pu 0.502 0.250 0.934
Pu 0.998 0.750 0.434
Br 0.007 0.250 0.918
Br 0.080 0.541 0.664
Br 0.080 0.959 0.664
Br 0.179 0.250 0.375
Br 0.203 0.750 0.340
Br 0.297 0.250 0.840
Br 0.321 0.750 0.875
Br 0.420 0.041 0.164
Br 0.420 0.459 0.164
Br 0.493 0.750 0.418
Br 0.507 0.250 0.582
Br 0.580 0.541 0.836
Br 0.580 0.959 0.836
Br 0.679 0.250 0.125
Br 0.703 0.750 0.160
Br 0.797 0.250 0.660
Br 0.821 0.750 0.625
Br 0.920 0.041 0.336
Br 0.920 0.459 0.336
Br 0.993 0.750 0.082

***

Relative to the most stable one, in eV/atom, the structures come out at run A 0.032; run B 0.000.

***

Run A
# KPu2Br8

A relaxed KPu2Br8 crystal (PBE, Alexandria via LeMat-Bulk).

Calculated values
magnetization = 9.00 μB/f.u.
N(E_F) = 14.36 states/eV per cell
space-group type = C2/m

a b c (Å): 8.510 8.510 8.856
angles (deg): 104.24 104.24 53.79
Fractional positions:
K 0.000 0.000 0.000
Pu 0.202 0.202 0.673
Pu 0.798 0.798 0.327
Br 0.144 0.644 0.232
Br 0.182 0.182 0.357
Br 0.356 0.856 0.768
Br 0.379 0.379 0.835
Br 0.621 0.621 0.165
Br 0.644 0.144 0.232
Br 0.818 0.818 0.643
Br 0.856 0.356 0.768

***

Run B
# KPu2Br8

A relaxed KPu2Br8 crystal (PBE, Alexandria via LeMat-Bulk).

Calculated values
magnetization = 9.00 μB/f.u.
N(E_F) = 20.05 states/eV per cell
space-group type = C2/m

a b c (Å): 7.858 7.858 8.295
angles (deg): 101.03 101.03 66.56
Fractional positions:
K 0.000 0.000 0.000
Pu 0.264 0.264 0.516
Pu 0.736 0.736 0.484
Br 0.114 0.659 0.643
Br 0.187 0.187 0.796
Br 0.341 0.886 0.357
Br 0.353 0.353 0.254
Br 0.647 0.647 0.746
Br 0.659 0.114 0.643
Br 0.813 0.813 0.204
Br 0.886 0.341 0.357

***

Relative to the most stable one, in eV/atom, the structures come out at run A 0.140; run B 0.000.

***

Run A
# KPuBr4

A relaxed KPuBr4 crystal (PBE, Alexandria via LeMat-Bulk).

Calculated values
magnetization = 5.00 μB/f.u.
N(E_F) = 10.80 states/eV per cell
space-group type = C2/m

a b c (Å): 6.993 6.993 8.440
angles (deg): 102.76 102.76 37.19
Fractional positions:
K 0.000 0.000 0.000
Pu 0.500 0.500 0.500
Br 0.119 0.119 0.410
Br 0.381 0.381 0.175
Br 0.619 0.619 0.825
Br 0.881 0.881 0.590

***

Run B
# KPuBr4

A relaxed KPuBr4 crystal (PBE, Alexandria via LeMat-Bulk).

Calculated values
magnetization = 5.00 μB/f.u.
N(E_F) = 18.40 states/eV per cell
space-group type = C2/c

a b c (Å): 8.632 8.632 7.161
angles (deg): 107.60 107.60 110.64
Fractional positions:
K 0.136 0.864 0.750
K 0.864 0.136 0.250
Pu 0.484 0.516 0.250
Pu 0.516 0.484 0.750
Br 0.166 0.286 0.795
Br 0.234 0.557 0.437
Br 0.286 0.166 0.295
Br 0.443 0.766 0.063
Br 0.557 0.234 0.937
Br 0.714 0.834 0.705
Br 0.766 0.443 0.563
Br 0.834 0.714 0.205

***

Relative to the most stable one, in eV/atom, the structures come out at run A 0.000; run B 0.040.

***

Run A
# K3PuBr8

A relaxed K3PuBr8 crystal (PBE, Alexandria via LeMat-Bulk).

Calculated values
magnetization = 3.14 μB/f.u.
N(E_F) = 15.01 states/eV per cell
space-group type = I4/mmm

a b c (Å): 9.213 9.213 9.213
angles (deg): 131.06 131.06 71.72
Fractional positions:
K 0.000 0.000 0.000
K 0.250 0.750 0.500
K 0.750 0.250 0.500
Pu 0.500 0.500 0.000
Br 0.163 0.163 0.553
Br 0.163 0.610 0.000
Br 0.390 0.390 0.553
Br 0.390 0.837 0.000
Br 0.610 0.163 0.000
Br 0.610 0.610 0.447
Br 0.837 0.390 0.000
Br 0.837 0.837 0.447

***

Run B
# K3PuBr8

A relaxed K3PuBr8 crystal (PBE, Alexandria via LeMat-Bulk).

Calculated values
magnetization = 4.12 μB/f.u.
N(E_F) = 13.02 states/eV per cell
space-group type = C222

a b c (Å): 7.959 7.959 10.034
angles (deg): 90.00 90.00 120.68
Fractional positions:
K 0.000 0.000 0.000
K 0.000 0.500 0.752
K 0.500 0.000 0.248
Pu 0.000 0.000 0.500
Br 0.198 0.802 0.500
Br 0.235 0.765 0.000
Br 0.239 0.244 0.697
Br 0.244 0.239 0.303
Br 0.756 0.761 0.303
Br 0.761 0.756 0.697
Br 0.765 0.235 0.000
Br 0.802 0.198 0.500

***

Relative to the most stable one, in eV/atom, the structures come out at run A 0.039; run B 0.000.

***

Run A
# KRb2Br2

A relaxed KRb2Br2 crystal (PBE, Alexandria via LeMat-Bulk).

Calculated values
magnetization = 0.51 μB/f.u.
N(E_F) = 3.65 states/eV per cell
space-group type = P4/mbm

a b c (Å): 9.474 9.474 4.873
angles (deg): 90.00 90.00 90.00
Fractional positions:
K 0.000 0.000 0.000
K 0.500 0.500 0.000
Rb 0.150 0.350 0.500
Rb 0.350 0.850 0.500
Rb 0.650 0.150 0.500
Rb 0.850 0.650 0.500
Br 0.157 0.657 0.000
Br 0.343 0.157 0.000
Br 0.657 0.843 0.000
Br 0.843 0.343 0.000

***

Run B
# KRb2Br2

A relaxed KRb2Br2 crystal (PBE, Alexandria via LeMat-Bulk).

Calculated values
magnetization = 0.00 μB/f.u.
N(E_F) = 2.35 states/eV per cell
space-group type = P4/mbm

a b c (Å): 10.244 10.244 4.251
angles (deg): 90.00 90.00 90.00
Fractional positions:
K 0.000 0.000 0.000
K 0.500 0.500 0.000
Rb 0.138 0.362 0.000
Rb 0.362 0.862 0.000
Rb 0.638 0.138 0.000
Rb 0.862 0.638 0.000
Br 0.152 0.652 0.500
Br 0.348 0.152 0.500
Br 0.652 0.848 0.500
Br 0.848 0.348 0.500

***

Relative to the most stable one, in eV/atom, the structures come out at run A 0.000; run B 0.106.

***

Run A
# KRb2Br2

A relaxed KRb2Br2 crystal (PBE, Alexandria via LeMat-Bulk).

Calculated values
magnetization = 0.00 μB/f.u.
N(E_F) = 2.10 states/eV per cell
space-group type = I4/mmm

a b c (Å): 9.421 9.421 9.421
angles (deg): 138.80 138.80 59.69
Fractional positions:
K 0.000 0.000 0.000
Rb 0.250 0.750 0.500
Rb 0.750 0.250 0.500
Br 0.197 0.197 0.000
Br 0.803 0.803 0.000

***

Run B
# KRb2Br2

A relaxed KRb2Br2 crystal (PBE, Alexandria via LeMat-Bulk).

Calculated values
magnetization = 0.00 μB/f.u.
N(E_F) = 2.28 states/eV per cell
space-group type = I4/mmm

a b c (Å): 8.594 8.594 8.594
angles (deg): 136.55 136.55 63.13
Fractional positions:
K 0.000 0.000 0.000
Rb 0.325 0.325 0.000
Rb 0.675 0.675 0.000
Br 0.250 0.750 0.500
Br 0.750 0.250 0.500

***

Relative to the most stable one, in eV/atom, the structures come out at run A 0.000; run B 0.072.

***

Run A
# KRb2Br

A relaxed KRb2Br crystal (PBE, Alexandria via LeMat-Bulk).

Calculated values
magnetization = 0.00 μB/f.u.
N(E_F) = 2.03 states/eV per cell
space-group type = R-3m

a b c (Å): 13.307 13.307 13.307
angles (deg): 20.85 20.85 20.85
Fractional positions:
K 0.000 0.000 0.000
Rb 0.112 0.112 0.112
Rb 0.888 0.888 0.888
Br 0.500 0.500 0.500

***

Run B
# KRb2Br

A relaxed KRb2Br crystal (PBE, Alexandria via LeMat-Bulk).

Calculated values
magnetization = 0.00 μB/f.u.
N(E_F) = 1.58 states/eV per cell
space-group type = R3m

a b c (Å): 12.636 12.636 12.636
angles (deg): 22.28 22.28 22.28
Fractional positions:
K 0.000 0.000 0.000
Rb 0.224 0.224 0.224
Rb 0.444 0.444 0.444
Br 0.834 0.834 0.834

***

Relative to the most stable one, in eV/atom, the structures come out at run A 0.027; run B 0.000.